No. 1
HgMo2P: optimized geometry, GGA-PBEsol.

Values from the calculation:
Total magnetic moment in μB per formula unit: 0.0
Offset from the most stable computed form in meV/atom: 289.4
E_form in eV/atom: 0.367
Symmetry: P4/mmm (123)

abc: 4.4684 4.4684 3.0564
angles: 90.00 90.00 90.00
Atoms (fractional coordinates):
Hg 0.0000 0.0000 0.0000
Mo 0.0000 0.5000 0.5000
Mo 0.5000 0.0000 0.5000
P 0.5000 0.5000 0.0000



No. 2
HgMoPb2: optimized geometry, GGA-PBEsol.

Values from the calculation:
Total magnetic moment in μB per formula unit: 1.4
E_form in eV/atom: 0.678
Symmetry: I4/mmm (139)

abc: 5.4731 5.4731 5.4731
angles: 131.97 131.97 70.28
Atoms (fractional coordinates):
Hg 0.0000 0.0000 0.0000
Mo 0.5000 0.5000 0.0000
Pb 0.2500 0.7500 0.5000
Pb 0.7500 0.2500 0.5000



No. 3
HgMoPb: optimized geometry, GGA-PBEsol.

Values from the calculation:
Total magnetic moment in μB per formula unit: 0.0
Offset from the most stable computed form in meV/atom: 0.0
E_form in eV/atom: 0.666
Symmetry: Fmm2 (42)

abc: 7.6844 7.5962 2.9809
angles: 80.42 77.09 22.49
Atoms (fractional coordinates):
Hg 0.0000 0.0000 0.0000
Mo 0.3605 0.3605 0.6395
Pb 0.7064 0.7064 0.2936



No. 4
HgMoPb: optimized geometry, GGA-PBEsol.

Values from the calculation:
Total magnetic moment in μB per formula unit: 2.1
Offset from the most stable computed form in meV/atom: 213.6
E_form in eV/atom: 0.880
Symmetry: F-43m (216)

abc: 4.6543 4.6543 4.6543
angles: 60.00 60.00 60.00
Atoms (fractional coordinates):
Hg 0.0000 0.0000 0.0000
Mo 0.7500 0.7500 0.7500
Pb 0.5000 0.5000 0.5000



No. 5
HgMoPb2: optimized geometry, GGA-PBEsol.

Values from the calculation:
Total magnetic moment in μB per formula unit: 0.3
E_form in eV/atom: 0.508
Symmetry: Cmm2 (35)

abc: 3.0849 3.0849 9.7116
angles: 90.00 90.00 94.52
Atoms (fractional coordinates):
Hg 0.0000 0.0000 0.0000
Mo 0.5000 0.5000 0.8013
Pb 0.0000 0.0000 0.5807
Pb 0.5000 0.5000 0.2553



No. 6
HgMoPb: optimized geometry, GGA-PBEsol.

Values from the calculation:
Total magnetic moment in μB per formula unit: 0.0
Offset from the most stable computed form in meV/atom: 82.0
E_form in eV/atom: 0.748
Symmetry: Imm2 (44)

abc: 5.6049 5.6049 5.6049
angles: 147.75 139.17 52.96
Atoms (fractional coordinates):
Hg 0.0000 0.0000 0.0000
Mo 0.3554 0.3554 0.0000
Pb 0.6889 0.6889 0.0000



Electronic total energy (eV per atom)
-7.107, -4.405, -4.778, -4.565, -4.575, -4.696